[1]
DFT (GGA-PBE) results for a relaxed Fe3PbCl crystal.

Structure (POSCAR):
```
Fe3PbCl
1.0
4.330 0.000 0.000
0.000 4.330 0.000
0.000 0.000 4.330
Fe Pb Cl
3 1 1
Cartesian
0.000 0.000 2.165
0.000 2.165 0.000
2.165 0.000 0.000
2.165 2.165 2.165
0.000 0.000 0.000
```

## Properties
Relative energy among the computed polymorphs in meV per atom: 0
Total magnetic moment in Bohr magnetons per cell: 6.6
Space-group type: Pm-3m (221)
Formation energy (no corrections) in eV/atom: 0.782
Crystal system: cubic

=====

[2]
DFT (GGA-PBE) results for a relaxed FePbCl crystal.

Structure (POSCAR):
```
FePbCl
1.0
0.000 2.554 7.274
1.943 0.000 7.274
1.943 2.554 0.000
Fe Pb Cl
1 1 1
Cartesian
0.000 0.000 0.000
1.943 2.554 9.486
1.943 2.554 5.882
```

## Properties
Relative energy among the computed polymorphs in meV per atom: 118
Total magnetic moment in Bohr magnetons per cell: 3.1
Space-group type: Fmm2 (42)
Formation energy (no corrections) in eV/atom: 0.036
Crystal system: orthorhombic

=====

[3]
DFT (GGA-PBE) results for a relaxed Fe2PbCl6 crystal.

Structure (POSCAR):
```
Fe2PbCl6
1.0
6.624 -6.161 0.000
6.624 6.161 0.000
-1.589 0.000 6.762
Fe Pb Cl
4 2 12
Cartesian
2.168 0.947 1.893
1.373 -0.947 5.274
10.286 0.947 1.488
9.491 -0.947 4.869
5.432 1.520 5.072
6.227 -1.520 1.691
0.981 0.828 3.860
3.462 3.304 5.953
1.776 -0.828 0.479
4.435 0.938 2.369
7.402 3.304 4.190
3.641 -0.938 5.750
8.018 0.938 1.012
4.257 -3.304 2.572
7.223 -0.938 4.393
9.883 0.828 6.284
8.197 -3.304 0.809
10.678 -0.828 2.902
```

## Properties
Total magnetic moment in Bohr magnetons per cell: 16.0
Space-group type: C2/c (15)
Formation energy (no corrections) in eV/atom: -0.821
Crystal system: monoclinic

=====

[4]
DFT (GGA-PBE) results for a relaxed FePb2Cl crystal.

Structure (POSCAR):
```
FePb2Cl
1.0
3.418 0.000 0.000
0.000 3.475 0.000
-0.161 0.000 8.278
Fe Pb Cl
1 2 1
Cartesian
0.000 0.000 0.000
1.546 1.737 6.584
1.712 1.737 1.694
1.629 0.000 4.139
```

## Properties
Relative energy among the computed polymorphs in meV per atom: 149
Total magnetic moment in Bohr magnetons per cell: 2.4
Space-group type: P2/m (10)
Formation energy (no corrections) in eV/atom: 0.118
Crystal system: monoclinic

=====

[5]
DFT (GGA-PBE) results for a relaxed FePb2Cl crystal.

Structure (POSCAR):
```
FePb2Cl
1.0
3.312 0.000 0.000
0.000 4.926 0.000
0.000 0.000 6.304
Fe Pb Cl
1 2 1
Cartesian
0.000 0.000 0.000
0.000 2.463 3.152
1.656 2.463 0.000
1.656 0.000 3.152
```

## Properties
Relative energy among the computed polymorphs in meV per atom: 315
Total magnetic moment in Bohr magnetons per cell: 3.3
Space-group type: Pmmm (47)
Formation energy (no corrections) in eV/atom: 0.284
Crystal system: orthorhombic

=====

[6]
DFT (GGA-PBE) results for a relaxed Fe2PbCl7 crystal.

Structure (POSCAR):
```
Fe2PbCl7
1.0
5.386 -6.668 0.000
5.386 6.668 0.000
0.000 0.000 4.827
Fe Pb Cl
2 1 7
Cartesian
2.328 0.000 0.000
8.445 0.000 0.000
5.386 0.000 2.413
0.000 0.000 0.000
2.339 0.000 2.413
3.785 1.741 0.000
3.785 -1.741 0.000
6.987 1.741 0.000
6.987 -1.741 0.000
8.434 0.000 2.413
```

## Properties
Total magnetic moment in Bohr magnetons per cell: 9.0
Space-group type: Cmmm (65)
Formation energy (no corrections) in eV/atom: -0.725
Crystal system: orthorhombic

=====

[7]
DFT (GGA-PBE) results for a relaxed FePb2Cl crystal.

Structure (POSCAR):
```
FePb2Cl
1.0
3.453 0.000 0.000
0.000 3.453 0.000
0.000 0.000 7.931
Fe Pb Cl
1 2 1
Cartesian
0.000 0.000 0.000
1.727 1.727 1.718
1.727 1.727 6.213
0.000 0.000 3.965
```

## Properties
Relative energy among the computed polymorphs in meV per atom: 158
Total magnetic moment in Bohr magnetons per cell: 2.2
Space-group type: P4/mmm (123)
Formation energy (no corrections) in eV/atom: 0.127
Crystal system: tetragonal

=====

[8]
DFT (GGA-PBE) results for a relaxed FePbCl2 crystal.

Structure (POSCAR):
```
FePbCl2
1.0
-2.356 2.356 4.138
2.356 -2.356 4.138
2.356 2.356 -4.138
Fe Pb Cl
1 1 2
Cartesian
0.000 0.000 0.000
0.000 0.000 4.138
2.356 0.000 2.069
0.000 2.356 2.069
```

## Properties
Relative energy among the computed polymorphs in meV per atom: 530
Total magnetic moment in Bohr magnetons per cell: 3.7
Space-group type: I4/mmm (139)
Formation energy (no corrections) in eV/atom: 0.090
Crystal system: tetragonal

=====

Which of these has the highest total magnetic moment? Fe2PbCl6

=====

Among the records above, which one has the lowest formation energy (no corrections)? Fe2PbCl6